Entry from the Alexandria database: SmSnAs2Rh5 after structural relaxation (PBE-GGA).

abc: 4.109 4.109 10.609
angles: 90.00 90.00 90.00
Element x y z (fractional)
Sm 0.000 0.000 0.500
Sn 0.000 0.000 0.000
As 0.500 0.500 0.277
As 0.500 0.500 0.723
Rh 0.000 0.500 0.161
Rh 0.500 0.000 0.161
Rh 0.000 0.500 0.839
Rh 0.500 0.000 0.839
Rh 0.500 0.500 0.500

Properties
The calculation puts the total magnetization at 0.00 μB per atom. Its space group is P4/mmm (123). The calculation puts the total DFT energy (no corrections) at -6.597 eV per atom.

Entry from the Alexandria database: Sm3SnAs2Rh9 after structural relaxation (PBE-GGA).

abc: 6.279 6.279 9.362
angles: 90.00 90.00 120.00
Element x y z (fractional)
Sm 0.333 0.667 0.735
Sm 0.000 0.000 0.000
Sm 0.667 0.333 0.265
Sn 0.000 0.000 0.500
As 0.333 0.667 0.168
As 0.667 0.333 0.832
Rh 0.858 0.142 0.732
Rh 0.858 0.716 0.732
Rh 0.284 0.142 0.732
Rh 0.716 0.858 0.268
Rh 0.142 0.284 0.268
Rh 0.142 0.858 0.268
Rh 0.500 0.000 0.000
Rh 0.000 0.500 0.000
Rh 0.500 0.500 0.000

Properties
The calculation puts the total magnetization at 0.00 μB per atom. Its space group is P-3m1 (164). The calculation puts the total DFT energy (no corrections) at -6.682 eV per atom.

Entry from the Alexandria database: Sm2SnAs3Rh4 after structural relaxation (PBE-GGA).

abc: 4.158 4.158 10.952
angles: 90.00 90.00 90.00
Element x y z (fractional)
Sm 0.500 0.000 0.235
Sm 0.000 0.500 0.765
Sn 0.500 0.500 0.500
As 0.000 0.000 0.500
As 0.500 0.000 0.868
As 0.000 0.500 0.132
Rh 0.500 0.500 0.000
Rh 0.000 0.000 0.000
Rh 0.500 0.000 0.649
Rh 0.000 0.500 0.351

Properties
The calculation puts the total magnetization at 0.00 μB per atom. Its space group is P-4m2 (115). The calculation puts the total DFT energy (no corrections) at -6.532 eV per atom.

Entry from the Alexandria database: Sr2SmAs3Rh4 after structural relaxation (PBE-GGA).

abc: 4.248 4.248 11.325
angles: 90.00 90.00 90.00
Element x y z (fractional)
Sr 0.500 0.000 0.231
Sr 0.000 0.500 0.769
Sm 0.500 0.500 0.500
As 0.000 0.000 0.500
As 0.500 0.000 0.876
As 0.000 0.500 0.124
Rh 0.500 0.500 0.000
Rh 0.000 0.000 0.000
Rh 0.500 0.000 0.660
Rh 0.000 0.500 0.340

Properties
The calculation puts the total magnetization at 0.00 μB per atom. Its space group is P-4m2 (115). The calculation puts the total DFT energy (no corrections) at -5.954 eV per atom.